1.
Tm4GaTeS2 (GGA-PBE, relaxed); crystal system = monoclinic; raw formation energy = -1.385 eV/atom; space-group type = P2/m (10)
1.0
3.9180 0.0000 0.0000
0.0000 7.0390 -0.1846
0.0000 2.4375 6.7006
Te S Tm Ga
1 2 4 1
Direct
0.5000 0.5000 0.0000
0.0000 0.0000 0.0000
0.5000 0.0000 0.5000
0.5000 0.2374 0.7441
0.0000 0.7715 0.7206
0.5000 0.7626 0.2559
0.0000 0.2285 0.2794
0.0000 0.5000 0.5000



2.
Y8GaTe4S3 (GGA-PBE, relaxed); crystal system = trigonal; raw formation energy = -1.519 eV/atom; space-group type = R-3m (166)
1.0
8.2363 0.0000 0.0000
0.0000 8.5069 0.1862
-4.1182 -4.1149 5.8264
Te Y S Ga
4 8 3 1
Direct
0.0000 0.0000 0.5000
0.5000 0.0000 0.0000
0.0000 0.0000 0.0000
0.5000 0.0000 0.5000
0.2379 0.7128 0.9749
0.7370 0.7128 0.9749
0.7621 0.2872 0.0251
0.7349 0.7046 0.4697
0.2651 0.2954 0.5303
0.2630 0.2872 0.0251
0.7621 0.2872 0.5241
0.2379 0.7128 0.4759
0.0000 0.5000 0.5000
0.5000 0.5000 0.0000
0.5000 0.5000 0.5000
0.0000 0.5000 0.0000



3.
ZnGaTeS (GGA-PBE, relaxed); crystal system = monoclinic; raw formation energy = -0.279 eV/atom; space-group type = Cm (8)
1.0
3.6009 0.0397 0.0217
1.8148 3.1104 0.0217
-0.0079 -0.0046 9.4494
Zn S Te Ga
1 1 1 1
Direct
0.2387 0.2387 0.4534
0.5716 0.5716 0.0785
0.9079 0.9079 0.6548
0.2389 0.2389 0.1972



4.
ZrGaTe2S (GGA-PBE, relaxed); crystal system = tetragonal; raw formation energy = 0.372 eV/atom; space-group type = P4/mmm (123)
1.0
-4.9281 -0.8529 1.5586
-1.1521 -1.3268 -4.3689
1.2304 -4.9535 1.1799
S Ga Zr Te
1 1 1 2
Direct
0.0000 0.0000 0.0000
0.0000 0.5000 0.0000
0.5000 0.5000 0.5000
0.5000 0.0000 0.0000
0.0000 0.0000 0.5000



5.
Th2GaS (GGA-PBE, relaxed); crystal system = trigonal; raw formation energy = -1.058 eV/atom; space-group type = R-3m (166)
1.0
-2.8087 2.9901 -1.2314
-3.1452 -1.0095 -2.7267
-5.8812 -0.9096 3.7566
Ga Th S
1 2 1
Direct
0.0000 0.0000 0.0000
0.7527 0.7527 0.7418
0.2473 0.2473 0.2582
0.5000 0.5000 0.5000



6.
Th5GaS4 (GGA-PBE, relaxed); crystal system = monoclinic; raw formation energy = -1.534 eV/atom; space-group type = C2/m (12)
1.0
-0.6161 -0.3676 -4.1172
-6.8174 -1.3657 -0.9790
-3.8350 8.0500 -2.2661
Ga S Th
1 4 5
Direct
0.0000 0.0000 0.0000
0.2028 0.3884 0.2061
0.4055 0.7925 0.3966
0.5945 0.2075 0.6034
0.7972 0.6116 0.7939
0.3943 0.3136 0.8979
0.8004 0.0920 0.3071
0.6057 0.6864 0.1021
0.0000 0.5000 0.5000
0.1996 0.9080 0.6929



7.
ThGaS (GGA-PBE, relaxed); crystal system = monoclinic; raw formation energy = -1.100 eV/atom; space-group type = C2/m (12)
1.0
5.4110 0.0000 0.0000
2.7055 2.7260 0.7433
2.7055 2.6675 10.2580
Th S Ga
2 2 2
Direct
0.8365 0.1243 0.2027
0.1635 0.8757 0.7973
0.6989 0.7206 0.8816
0.3011 0.2794 0.1184
0.7359 0.0102 0.5180
0.2641 0.9898 0.4820



8.
ThTl2GaS5 (GGA-PBE, relaxed); crystal system = orthorhombic; raw formation energy = -0.890 eV/atom; space-group type = Cmc2_1 (36)
1.0
4.0168 0.0000 0.0000
-2.0084 9.2461 0.0000
0.0000 0.0000 13.0528
Tl S Th Ga
4 10 2 2
Direct
0.1128 0.2257 0.3403
0.8962 0.7924 0.1640
0.1038 0.2076 0.6640
0.8872 0.7743 0.8403
0.6839 0.3678 0.8865
0.4968 0.9935 0.7759
0.0460 0.0921 0.0212
0.3161 0.6322 0.3865
0.7033 0.4065 0.1760
0.9540 0.9079 0.5212
0.2967 0.5935 0.6760
0.5032 0.0065 0.2759
0.6482 0.2965 0.5021
0.3518 0.7035 0.0021
0.7952 0.5904 0.5366
0.2048 0.4096 0.0366
0.4391 0.8782 0.4215
0.5609 0.1218 0.9215



9.
Ti3GaS6 (GGA-PBE, relaxed); crystal system = orthorhombic; raw formation energy = -1.035 eV/atom; space-group type = Cmc2_1 (36)
1.0
5.9852 0.0000 0.0000
0.0000 7.8091 0.0384
0.0000 -1.7051 7.6208
S Ga Ti
12 2 6
Direct
0.6630 0.9609 0.0391
0.2193 0.1088 0.5433
0.6879 0.6260 0.7021
0.6330 0.2224 0.7776
0.7193 0.8912 0.4567
0.7193 0.5433 0.1088
0.1879 0.3740 0.2979
0.1330 0.7776 0.2224
0.2193 0.4567 0.8912
0.1630 0.0391 0.9609
0.6879 0.2979 0.3740
0.1879 0.7021 0.6260
0.0085 0.2143 0.7857
0.5085 0.7857 0.2143
0.3856 0.4123 0.5877
0.4904 0.2666 0.0820
0.4904 0.9180 0.7334
0.8856 0.5877 0.4123
0.9904 0.0820 0.2666
0.9904 0.7334 0.9180



10.
Ti2GaS4 (GGA-PBE, relaxed); crystal system = cubic; raw formation energy = -1.111 eV/atom; space-group type = Fd-3m (227)
1.0
6.2555 -0.0399 3.5776
-2.0048 5.9257 3.5776
0.0318 0.0440 7.2058
Ga S Ti
2 8 4
Direct
0.1251 0.3749 0.2500
0.8749 0.6251 0.7500
0.2563 0.2439 0.5125
0.2562 0.7686 0.9877
0.2686 0.7562 0.4877
0.7439 0.7563 0.0125
0.7438 0.2314 0.0123
0.7437 0.7561 0.4875
0.2561 0.2437 0.9875
0.7314 0.2438 0.5123
0.5000 0.0000 0.0000
0.5000 0.5000 0.5000
0.0000 0.0000 0.0000
0.5000 0.0000 0.5000



11.
Ti2Ga2S (GGA-PBE, relaxed); crystal system = tetragonal; raw formation energy = -0.647 eV/atom; space-group type = P4/mbm (127)
1.0
-4.2878 3.7088 -2.8758
0.6592 -3.3807 -5.3430
-3.0293 -2.5440 1.2359
Ga Ti S
4 4 2
Direct
0.1424 0.6424 0.5000
0.3576 0.1424 0.5000
0.6424 0.8576 0.5000
0.8576 0.3576 0.5000
0.6687 0.1687 0.0000
0.1687 0.3313 0.0000
0.3313 0.8313 0.0000
0.8313 0.6687 0.0000
0.5000 0.5000 0.0000
0.0000 0.0000 0.0000



12.
TiGaS (GGA-PBE, relaxed); crystal system = monoclinic; raw formation energy = -0.691 eV/atom; space-group type = C2/m (12)
1.0
-3.1462 -0.7424 -0.9567
-0.6466 -5.3916 6.3106
-0.9262 5.5028 4.7152
Ga Ti S
4 4 4
Direct
0.2506 0.1285 0.5012
0.2448 0.6186 0.4896
0.7494 0.8715 0.4988
0.7552 0.3814 0.5104
0.4137 0.4160 0.8274
0.5863 0.5840 0.1726
0.3979 0.8406 0.7959
0.6021 0.1594 0.2041
0.0493 0.3589 0.0986
0.5817 0.8776 0.1634
0.4183 0.1224 0.8366
0.9507 0.6411 0.9014



13.
Ti4GaS8 (GGA-PBE, relaxed); crystal system = cubic; raw formation energy = -1.243 eV/atom; space-group type = F-43m (216)
1.0
-6.6304 -2.3876 -0.6935
-1.6324 -6.5705 2.0753
-4.0206 -1.0032 5.7421
S Ga Ti
8 1 4
Direct
0.3751 0.3751 0.3751
0.3751 0.3751 0.8746
0.8668 0.8668 0.3997
0.8668 0.8668 0.8668
0.3751 0.8746 0.3751
0.3997 0.8668 0.8668
0.8668 0.3997 0.8668
0.8746 0.3751 0.3751
0.0000 0.0000 0.0000
0.6123 0.1630 0.6123
0.1630 0.6123 0.6123
0.6123 0.6123 0.1630
0.6123 0.6123 0.6123



14.
Ti7Ga2S2 (GGA-PBE, relaxed); crystal system = orthorhombic; raw formation energy = -0.670 eV/atom; space-group type = Imm2 (44)
1.0
-3.1979 -0.5467 0.4355
-0.2100 -8.0376 0.6700
-0.0558 -3.8078 7.1129
Ti S Ga
7 2 2
Direct
0.8257 0.0573 0.2912
0.6368 0.4667 0.2598
0.1574 0.1326 0.5526
0.3632 0.7402 0.5333
0.8426 0.4474 0.8674
0.1743 0.7088 0.9427
0.5000 0.0197 0.9803
0.2663 0.3237 0.1436
0.7337 0.8564 0.6763
0.5000 0.3656 0.6344
0.0000 0.7355 0.2645



15.
TiGaS4 (GGA-PBE, relaxed); crystal system = monoclinic; raw formation energy = -0.693 eV/atom; space-group type = P2/m (10)
1.0
3.4161 0.0000 0.0000
0.0000 5.8747 0.5632
0.0000 0.4225 6.1657
Ti S Ga
1 4 1
Direct
0.5000 0.0000 0.5000
0.5000 0.7691 0.2013
0.0000 0.7533 0.6844
0.5000 0.2309 0.7987
0.0000 0.2467 0.3156
0.0000 0.0000 0.0000



16.
Ti2V2GaS8 (GGA-PBE, relaxed); crystal system = orthorhombic; raw formation energy = -1.079 eV/atom; space-group type = Imm2 (44)
1.0
7.0142 -0.0010 -0.0064
0.0317 7.0141 0.0064
-3.5038 -3.5257 4.9489
V S Ga Ti
2 8 1 2
Direct
0.6103 0.3929 0.7826
0.6103 0.8277 0.2174
0.8622 0.1245 0.2623
0.8810 0.6271 0.2538
0.4086 0.1327 0.2759
0.3733 0.1246 0.7514
0.3733 0.6271 0.7462
0.8568 0.1327 0.7241
0.8622 0.5999 0.7377
0.3733 0.6219 0.2486
0.0040 0.0040 0.0000
0.6195 0.3924 0.2271
0.1653 0.3924 0.7729



17.
Tl2Ga2S (GGA-PBE, relaxed); crystal system = tetragonal; raw formation energy = -0.014 eV/atom; space-group type = P4/mbm (127)
1.0
-0.3379 -4.0615 5.5447
2.8041 -5.1498 -3.6014
4.8379 1.6056 1.4710
Tl S Ga
4 2 4
Direct
0.6747 0.8253 0.5000
0.1747 0.6747 0.5000
0.3253 0.1747 0.5000
0.8253 0.3253 0.5000
0.5000 0.5000 0.0000
0.0000 0.0000 0.0000
0.6405 0.1406 0.0000
0.1406 0.3594 0.0000
0.3594 0.8594 0.0000
0.8594 0.6405 0.0000



18.
Tl3Ga2S4 (GGA-PBE, relaxed); crystal system = monoclinic; raw formation energy = -0.497 eV/atom; space-group type = C2/c (15)
1.0
-4.6076 3.6463 2.3867
1.2910 -5.2219 7.5806
6.8329 3.1829 5.4389
Ga S Tl
4 8 6
Direct
0.9269 0.3845 0.1574
0.0731 0.6155 0.8426
0.4269 0.1574 0.3845
0.5731 0.8426 0.6155
0.9553 0.3518 0.9253
0.0447 0.6482 0.0747
0.4553 0.9253 0.3518
0.5742 0.3785 0.2031
0.5447 0.0747 0.6482
0.4258 0.6215 0.7969
0.0742 0.2031 0.3785
0.9258 0.7969 0.6215
0.4656 0.2685 0.9101
0.0344 0.0899 0.7315
0.5344 0.7315 0.0899
0.7500 0.4618 0.5382
0.2500 0.5382 0.4618
0.9656 0.9101 0.2685



19.
Tl3GaS3 (GGA-PBE, relaxed); crystal system = orthorhombic; ΔE to the lowest computed polymorph = 92 meV per atom; raw formation energy = -0.400 eV/atom; space-group type = Cmcm (63)
1.0
-4.9099 -1.8471 -4.0911
1.8365 -8.4968 1.6322
-5.8413 4.2810 5.0775
Ga Tl S
2 6 6
Direct
0.2500 0.6669 0.3332
0.7500 0.3331 0.6668
0.7500 0.7997 0.5980
0.2500 0.5980 0.7988
0.7500 0.7992 0.2000
0.2500 0.2008 0.8000
0.2500 0.2003 0.4020
0.7500 0.4020 0.2012
0.7500 0.6223 0.8107
0.7500 0.1883 0.8123
0.7500 0.1887 0.3777
0.2500 0.8117 0.1877
0.2500 0.8113 0.6223
0.2500 0.3777 0.1893



20.
Tl2GaS2 (GGA-PBE, relaxed); crystal system = tetragonal; raw formation energy = -0.096 eV/atom; space-group type = P4/mbm (127)
1.0
-2.5003 -5.6399 -2.5271
5.0038 -0.2474 -4.3986
3.0640 -2.9957 3.6541
Ga S Tl
2 4 4
Direct
0.5000 0.5000 0.0000
0.0000 0.0000 0.0000
0.8182 0.6818 0.0000
0.3182 0.8182 0.0000
0.1818 0.3182 0.0000
0.6818 0.1818 0.0000
0.6774 0.8226 0.5000
0.3226 0.1774 0.5000
0.1774 0.6774 0.5000
0.8226 0.3226 0.5000



21.
TlGa2S3 (GGA-PBE, relaxed); crystal system = monoclinic; raw formation energy = -0.479 eV/atom; space-group type = C2/m (12)
1.0
-0.2813 -1.9089 -3.8773
5.4131 -4.5826 1.8635
-10.2026 -2.9351 4.6040
S Ga Tl
6 4 2
Direct
0.9471 0.1160 0.8942
0.4060 0.6273 0.8120
0.5940 0.3727 0.1880
0.0529 0.8840 0.1058
0.2209 0.2820 0.4419
0.7791 0.7180 0.5581
0.3021 0.6171 0.6041
0.0583 0.2085 0.1166
0.9417 0.7915 0.8834
0.6979 0.3829 0.3959
0.3597 0.1450 0.7194
0.6403 0.8550 0.2806